PBE-GGA K3UI8, relaxed; E_form (uncorrected) = -0.97 eV per atom; symmetry = Pm-3m
1.0
8.160 0.000 0.000
0.000 8.160 0.000
0.000 0.000 8.160
I U K
8 1 3
Cartesian
1.850 1.850 1.850
1.850 6.309 6.309
1.850 6.309 1.850
6.309 1.850 6.309
6.309 6.309 1.850
6.309 6.309 6.309
6.309 1.850 1.850
1.850 1.850 6.309
0.000 0.000 0.000
0.000 4.080 4.080
4.080 4.080 0.000
4.080 0.000 4.080



PBE-GGA Be2AuCl, relaxed; E above lowest polymorph = 75.3 meV/atom; E_form (uncorrected) = -0.12 eV per atom; symmetry = C2/m
1.0
-4.301 0.252 -0.408
-3.205 -1.887 -2.213
-4.404 -4.393 2.529
Be Cl Au
2 1 1
Cartesian
-5.208 -2.511 -0.188
-0.747 -0.503 0.142
-8.932 -4.521 -0.069
-2.977 -1.507 -0.023



PBE-GGA PrNd6Ni3, relaxed; symmetry = Cmc2_1
1.0
7.233 0.000 0.000
0.000 8.677 -1.536
0.000 0.208 8.809
Pr Ni Nd
2 6 12
Cartesian
0.317 2.949 5.460
3.933 5.935 1.813
6.934 6.349 6.922
3.318 8.039 4.857
3.318 2.535 0.351
6.934 0.845 2.416
6.338 5.095 2.840
2.722 3.790 4.434
5.919 8.508 3.654
4.857 2.607 2.832
4.785 8.401 -1.198
5.919 3.623 -0.346
4.857 5.593 5.277
1.241 6.277 4.441
2.303 5.262 7.620
1.241 3.291 1.996
2.303 0.376 3.620
3.666 2.136 6.453
0.049 6.748 0.820
1.168 0.484 8.472



Computed values of VASP energy (unit: eV per cell) for the preceding records, in sequence: -38.647; -13.060; -104.261.